No. 1
VASP calculation (PBE-GGA) on Sr2MnCu after structural relaxation.

Summary:
ΔE_f: 0.92 eV per formula unit
Crystal system: orthorhombic
Magnetization: 3.75 μB/cell
ΔE to the lowest computed polymorph: 0.00 kJ per mole of atoms

Cell lengths 4.385, 4.655, 6.401 Å; angles 68.67, 90.00, 90.00 degrees
Atoms (fractional coordinates):
1 Cu 0.000 0.681 0.513
2 Mn 0.500 0.573 0.728
3 Sr 0.000 0.979 0.916
4 Sr 0.500 0.266 0.343

***

No. 2
VASP calculation (PBE-GGA) on SrMnCu after structural relaxation.

Summary:
ΔE_f: 1.03 eV per formula unit
Crystal system: tetragonal
Magnetization: 3.95 μB/cell
ΔE to the lowest computed polymorph: 4.89 kJ per mole of atoms

Cell lengths 6.101, 6.101, 3.478 Å; angles 73.44, 73.44, 33.12 degrees
Atoms (fractional coordinates):
1 Cu 0.045 0.045 0.955
2 Mn 0.618 0.618 0.382
3 Sr 0.337 0.337 0.663